A plane-wave DFT calculation with GGA-PBE was carried out for a relaxed BaUI5 crystal.

Values from the calculation:
Formation energy (no corrections) (eV per atom): -1.162
Uncorrected energy (eV per cell): -116.379

```
data_BaUI5
_cell_length_a 11.467
_cell_length_b 11.949
_cell_length_c 11.665
_cell_angle_alpha 90.00
_cell_angle_beta 113.12
_cell_angle_gamma 90.00
_space_group_name_H-M_alt 'C 1 2/c 1'
_space_group_IT_number 15
loop_
_space_group_symop_operation_xyz
'x,y,z'
'-x,-y,-z'
'-x,y,-z+1/2'
'x,-y,z+1/2'
'x+1/2,y+1/2,z'
'-x+1/2,-y+1/2,-z'
'-x+1/2,y+1/2,-z+1/2'
'x+1/2,-y+1/2,z+1/2'
loop_
_atom_site_label
_atom_site_fract_x
_atom_site_fract_y
_atom_site_fract_z
Ba1 0.000 0.078 0.250
U1 0.250 0.250 0.000
I1 0.000 0.222 0.750
I2 0.072 0.321 0.125
I3 0.202 0.002 0.057
```